# 1
Ho5In2Hg2 PBE optimized geometry; crystal system = orthorhombic; symmetry = Cmce; final energy = -64.51 eV for the cell shown
1.0
-1.6640 6.8577 1.4974
-4.4368 0.5211 -7.3169
-4.4752 -2.7326 7.5412
Ho In Hg
10 4 4
Direct
0.0000 0.0000 0.0000
0.5000 0.5000 0.0000
0.8399 0.8268 0.2796
0.1601 0.4528 0.2796
0.3399 0.9528 0.2796
0.6601 0.3268 0.2796
0.1601 0.1732 0.7204
0.8399 0.5472 0.7204
0.6601 0.0472 0.7204
0.3399 0.6732 0.7204
0.0000 0.2107 0.4214
0.5000 0.7107 0.4214
0.0000 0.7893 0.5786
0.5000 0.2893 0.5786
0.6193 0.8569 0.0000
0.3807 0.1431 0.0000
0.1193 0.6431 0.0000
0.8807 0.3569 0.0000


# 2
Ho4InHg2 PBE optimized geometry; crystal system = trigonal; symmetry = R-3m; distance to the lowest polymorph of the same formula = 0.128 eV/atom; final energy = -22.84 eV for the cell shown
1.0
5.0202 0.0000 0.0000
2.5101 4.3476 0.0000
2.5101 1.4492 9.6198
Ho In Hg
4 1 2
Direct
0.3791 0.3791 0.8627
0.2038 0.2038 0.3886
0.7962 0.7962 0.6114
0.6209 0.6209 0.1373
0.0000 0.0000 0.0000
0.1007 0.1007 0.6980
0.8993 0.8993 0.3020


Calculated formation energy list, top to bottom, in eV per atom: -0.37, -0.17